(one)
VASP calculation (PBE-GGA) on a relaxed K3BaZn crystal.

abc: 6.7431 6.7431 6.7431
angles: 90.00 90.00 90.00
Positions (direct):
Zn: 0.0000 0.0000 0.0000
Ba: 0.5000 0.5000 0.5000
K: 0.0000 0.5000 0.0000
K: 0.5000 0.0000 0.0000
K: 0.0000 0.0000 0.5000

Results
- Magnetic moment: 0.00 μB per cell

---

(two)
VASP calculation (PBE-GGA) on a relaxed K3BaZn crystal.

abc: 8.5040 8.5040 8.5040
angles: 90.00 90.00 90.00
Positions (direct):
K: 0.0000 0.0000 0.5000
K: 0.5000 0.0000 0.0000
Ba: 0.0000 0.0000 0.0000
Zn: 0.5000 0.5000 0.5000
K: 0.0000 0.5000 0.0000

Results
- Magnetic moment: 1.02 μB per cell

---

Order from most stable to least stable according to the calculation: (one), (two)